No. 1
DFT (PBE) results for LiSm2Pu after structural relaxation.

The space group is P4/mmm (No. 123) and the conventional cell measures 3.486, 3.486 and 9.452 Å, with angles of 90.00, 90.00 and 90.00 degrees. The asymmetric unit holds Li at (0.000, 0.000, 0.000), Sm at (0.500, 0.500, 0.242) and Pu at (0.000, 0.000, 0.500).

The value obtained for the energy relative to the elements is 156 meV per atom. The value obtained for the polymorph energy (0 for the lowest one) is 0 kJ/mol of formula units.

No. 2
DFT (PBE) results for LiSm2Pu after structural relaxation.

The space group is P4/mmm (No. 123) and the conventional cell measures 5.642, 5.642 and 3.563 Å, with angles of 90.00, 90.00 and 90.00 degrees. The asymmetric unit holds Li at (0.000, 0.000, 0.000), Sm at (0.000, 0.500, 0.500) and Pu at (0.500, 0.500, 0.000).

The value obtained for the energy relative to the elements is 183 meV per atom. The value obtained for the polymorph energy (0 for the lowest one) is 10 kJ/mol of formula units.

No. 3
DFT (PBE) results for LiSm2Pu after structural relaxation.

The space group is R-3m (No. 166, hexagonal axes) and the conventional cell measures 3.3883, 3.3883 and 36.2452 Å, with angles of 90.00, 90.00 and 120.00 degrees. The asymmetric unit holds Li at (0.0000, 0.0000, 0.0000), Sm at (0.0000, 0.0000, 0.4093) and Pu at (0.0000, 0.0000, 0.5000).

The value obtained for the energy relative to the elements is 354 meV per atom. The value obtained for the polymorph energy (0 for the lowest one) is 76 kJ/mol of formula units.

No. 4
DFT (PBE) results for LiSm2PuTe5 after structural relaxation.

The space group is Cmc2_1 (No. 36) and the conventional cell measures 4.395, 18.603 and 13.245 Å, with angles of 90.00, 90.00 and 90.00 degrees. The asymmetric unit holds Li at (0.000, 0.055, 0.000), Sm at (0.000, 0.373, 0.838), Sm at (0.000, 0.393, 0.221), Pu at (0.000, 0.300, 0.543), Te at (0.000, 0.002, 0.317), Te at (0.000, 0.133, 0.535), Te at (0.000, 0.187, 0.878), Te at (0.000, 0.215, 0.205) and Te at (0.000, 0.453, 0.612).

The value obtained for the energy relative to the elements, uncorrected is -1.1657 eV per atom.

No. 5
DFT (PBE) results for LiSm2PuTe4 after structural relaxation.

The space group is P2/m (No. 10) and the conventional cell measures 7.652, 4.410 and 7.669 Å, with angles of 90.00, 109.57 and 90.00 degrees. The asymmetric unit holds Li at (0.000, 0.000, 0.000), Sm at (0.000, 0.500, 0.500), Sm at (0.500, 0.000, 0.500), Pu at (0.500, 0.500, 0.000), Te at (0.241, 0.500, 0.242) and Te at (0.246, 0.000, 0.756).

The value obtained for the energy relative to the elements, uncorrected is -1.2751 eV per atom.

No. 6
DFT (PBE) results for LiSm3Pu3Te8 after structural relaxation.

The space group is R-3m (No. 166, hexagonal axes) and the conventional cell measures 8.8479, 8.8479 and 21.6692 Å, with angles of 90.00, 90.00 and 120.00 degrees. The asymmetric unit holds Li at (0.0000, 0.0000, 0.0000), Sm at (0.0000, 0.5000, 0.5000), Pu at (0.0000, 0.5000, 0.0000), Te at (0.0000, 0.0000, 0.2507) and Te at (0.0024, 0.5012, 0.7492).

The value obtained for the energy relative to the elements, uncorrected is -1.2064 eV per atom.